This record from the Alexandria database describes a relaxed VWF2 crystal. The functional is PBE+U.

Structure (CIF):
```
data_VWF2
_cell_length_a 6.1867
_cell_length_b 6.1867
_cell_length_c 6.1867
_cell_angle_alpha 90.00
_cell_angle_beta 90.00
_cell_angle_gamma 90.00
_symmetry_space_group_name_H-M 'F m -3 m'
_symmetry_Int_Tables_number 225
_symmetry_space_group_name_Hall '-F 4 2 3'
loop_
_atom_site_label
_atom_site_fract_x
_atom_site_fract_y
_atom_site_fract_z
_atom_site_occupancy
V1 0.0000 0.0000 0.0000 1
W1 0.0000 0.0000 0.5000 1
F1 0.2500 0.2500 0.2500 1
```

Properties
- Raw total energy: -4.4781 eV per atom